NiGeF2: relaxed, PBE+U.

Values from the calculation:
**Crystal system**: trigonal
**SG**: R-3m, No. 166
**Energy relative to the lowest polymorph listed for this composition**: 0.000 eV per atom
**Fermi-level density of states**: 0.7 states/eV/cell
**Spin magnetization**: 0.49 μB/atom

Unit cell a=8.8034 b=8.8034 c=8.8034 alpha=19.53 beta=19.53 gamma=19.53
Last column: nearest neighbours and their distance in Å.
Sites, in units of the cell vectors:
1 Ni 0.0000 0.0000 0.0000  6 F 2.01
2 Ge 0.5000 0.5000 0.5000  6 Ge 2.99, 2 F 3.27
3 F 0.3736 0.3736 0.3736  3 Ni 2.01
4 F 0.6264 0.6264 0.6264  3 Ni 2.01